[1]
# GGA-PBE InHgW3, relaxed
data_InHgW3
_symmetry_space_group_name_H-M 'P m -3 m'
_symmetry_Int_Tables_number 221
_symmetry_space_group_name_Hall '-P 4 2 3'
_cell_length_a 4.8887
_cell_length_b 4.8887
_cell_length_c 4.8887
_cell_angle_alpha 90.00
_cell_angle_beta 90.00
_cell_angle_gamma 90.00
loop_
_atom_site_label
_atom_site_type_symbol
_atom_site_fract_x
_atom_site_fract_y
_atom_site_fract_z
_atom_site_occupancy
In1 In 0.0000 0.0000 0.0000 1
Hg1 Hg 0.5000 0.5000 0.5000 1
W1 W 0.0000 0.0000 0.5000 1
# E_tot   -27.53 eV for the cell shown
# Polymorph energy (0 for the lowest one)   0.000 eV per atom
# Mass density   12.3 g cm⁻³
# Density of states at the Fermi level   7.31 states/eV per cell
# ΔE_f   2.875 eV per atom


[2]
# GGA-PBE ThCd3Hg3, relaxed
data_ThCd3Hg3
_symmetry_space_group_name_H-M 'P m -3 m'
_symmetry_Int_Tables_number 221
_symmetry_space_group_name_Hall '-P 4 2 3'
_cell_length_a 6.0351
_cell_length_b 6.0351
_cell_length_c 6.0351
_cell_angle_alpha 90.00
_cell_angle_beta 90.00
_cell_angle_gamma 90.00
loop_
_atom_site_label
_atom_site_type_symbol
_atom_site_fract_x
_atom_site_fract_y
_atom_site_fract_z
_atom_site_occupancy
Th1 Th 0.0000 0.0000 0.0000 1
Cd1 Cd 0.0000 0.5000 0.5000 1
Hg1 Hg 0.0000 0.0000 0.5000 1
# E_tot   -9.68 eV for the cell shown
# Polymorph energy (0 for the lowest one)   0.226 eV per atom
# Mass density   8.8 g cm⁻³
# Density of states at the Fermi level   4.85 states/eV per cell
# ΔE_f   0.198 eV per atom


[3]
# GGA-PBE RbCrGe, relaxed
data_RbCrGe
_symmetry_space_group_name_H-M 'P 4/n m m'
_symmetry_Int_Tables_number 129
_cell_length_a 4.4786
_cell_length_b 4.4786
_cell_length_c 8.3805
_cell_angle_alpha 90.00
_cell_angle_beta 90.00
_cell_angle_gamma 90.00
loop_
_symmetry_equiv_pos_as_xyz
'x,y,z'
'-x,-y,-z'
'-y+1/2,x,z'
'y+1/2,-x,-z'
'-x+1/2,-y+1/2,z'
'x+1/2,y+1/2,-z'
'y,-x+1/2,z'
'-y,x+1/2,-z'
'x+1/2,-y,-z'
'-x+1/2,y,z'
'-y,-x,-z'
'y,x,z'
'-x,y+1/2,-z'
'x,-y+1/2,z'
'y+1/2,x+1/2,-z'
'-y+1/2,-x+1/2,z'
loop_
_atom_site_label
_atom_site_type_symbol
_atom_site_fract_x
_atom_site_fract_y
_atom_site_fract_z
_atom_site_occupancy
Rb1 Rb 0.2500 0.2500 0.1572 1
Cr1 Cr 0.2500 0.7500 0.5000 1
Ge1 Ge 0.2500 0.2500 0.6471 1
# E_tot   -29.63 eV for the cell shown
# Mass density   4.2 g cm⁻³
# Density of states at the Fermi level   0.00 states/eV per cell
# ΔE_f   0.132 eV per atom